KNbNF2 | PBE | relaxed

Calculated values
- SG: No. 123
- Formation energy from raw total energies: 0.488 eV per atom
- Crystal system: tetragonal
- Density of states at the Fermi level: 6.43 states/eV/cell
- Calculated volume: 91 Å³ per cell
- Total magnetic moment: 3.0 μB/cell

Cell and atoms, written as POSCAR:
```
KNbNF2
1.0
4.3497 0.0000 0.0000
0.0000 4.3497 0.0000
0.0000 0.0000 4.8189
F N Nb K
2 1 1 1
Cartesian
2.1749 0.0000 0.0000
0.0000 2.1749 0.0000
0.0000 0.0000 2.4094
2.1749 2.1749 2.4094
0.0000 0.0000 0.0000
```

---

Sc2Al3Zn3 | PBE | relaxed

Calculated values
- SG: No. 47
- Crystal system: orthorhombic
- Density of states at the Fermi level: 3.46 states/eV/cell
- Calculated volume: 136 Å³ per cell
- ΔH_f (0 K): -0.377 eV/atom
- Total magnetic moment: 0.0 μB/cell

Cell and atoms, written as POSCAR:
```
Sc2Al3Zn3
1.0
-2.9305 1.4212 2.4930
1.0239 -2.7865 2.7921
5.3124 5.2247 3.2662
Sc Zn Al
2 3 3
Cartesian
3.9855 3.9197 2.4504
1.3269 1.3050 0.8158
-1.4653 0.7106 1.2465
0.3744 0.6232 3.4589
3.0313 3.2362 5.0924
3.1681 1.2191 3.0291
0.5119 -1.3933 1.3960
1.1910 3.3229 2.8796
```